[1]
{
  "formula": "Al3SnAs",
  "functional": "PBE",
  "state": "optimized geometry",
  "formation_enthalpy_0k_ev_per_fu": 2.2,
  "relative_energy_mev_per_atom": 0,
  "dft_energy_ev_per_atom": -3.539,
  "cell": [[4.911, 0.000, 0.000], [0.000, 4.911, 0.000], [0.000, 0.000, 4.911]],
  "species": ["Al", "Al", "Al", "As", "Sn"],
  "fractional_positions": [[0.000, 0.500, 0.000], [0.500, 0.000, 0.000], [0.000, 0.000, 0.500], [0.000, 0.000, 0.000], [0.500, 0.500, 0.500]]
}



[2]
{
  "formula": "Ho2AlV",
  "functional": "PBE",
  "state": "optimized geometry",
  "formation_enthalpy_0k_ev_per_fu": -0.1,
  "relative_energy_mev_per_atom": 11,
  "dft_energy_ev_per_atom": -5.540,
  "cell": [[-1.198, 1.223, 3.277], [-1.389, -4.640, 1.223], [4.517, -0.835, 1.963]],
  "species": ["Ho", "Ho", "Al", "V"],
  "fractional_positions": [[0.000, 0.500, 0.000], [0.000, 0.000, 0.500], [0.500, 0.000, 0.000], [0.500, 0.500, 0.500]]
}



[3]
{
  "formula": "Rb4Tl5Ga",
  "functional": "PBE",
  "state": "optimized geometry",
  "formation_enthalpy_0k_ev_per_fu": -0.5,
  "dft_energy_ev_per_atom": -1.921,
  "cell": [[-2.330, 0.457, 6.822], [-8.405, 1.644, 0.843], [-2.664, -7.438, 3.413]],
  "species": ["Rb", "Rb", "Rb", "Rb", "Tl", "Tl", "Tl", "Tl", "Tl", "Ga"],
  "fractional_positions": [[0.477, 0.768, 0.378], [0.245, 0.378, 0.232], [0.855, 0.622, 0.768], [0.623, 0.232, 0.622], [0.233, 0.733, 0.879], [0.967, 0.879, 0.267], [0.113, 0.121, 0.733], [0.362, 0.000, 0.000], [0.846, 0.267, 0.121], [0.770, 0.000, 0.000]]
}



[4]
{
  "formula": "Th8SiS6",
  "functional": "PBE",
  "state": "optimized geometry",
  "raw_formation_energy_ev_per_atom": -1.2386,
  "dft_energy_ev_per_atom": -7.208,
  "cell": [[4.141, 0.000, 0.000], [0.000, 8.937, -5.160], [0.000, 0.000, 10.319]],
  "species": ["Th", "Th", "Th", "Th", "Th", "Th", "Th", "Th", "S", "S", "S", "S", "S", "S", "Si"],
  "fractional_positions": [[0.748, 0.333, 0.667], [0.252, 0.667, 0.333], [0.256, 0.035, 0.719], [0.256, 0.683, 0.965], [0.256, 0.281, 0.317], [0.744, 0.965, 0.281], [0.744, 0.317, 0.035], [0.744, 0.719, 0.683], [0.752, 0.639, 0.127], [0.752, 0.873, 0.512], [0.248, 0.361, 0.873], [0.248, 0.127, 0.488], [0.248, 0.512, 0.639], [0.752, 0.488, 0.361], [0.500, 0.000, 0.000]]
}



[5]
{
  "formula": "Nd4BiOs",
  "functional": "PBE",
  "state": "optimized geometry",
  "formation_enthalpy_0k_ev_per_fu": -2.3,
  "dft_energy_ev_per_atom": -6.077,
  "cell": [[0.130, 6.224, 1.411], [-7.442, -3.511, 3.413], [7.044, -2.772, 3.519]],
  "species": ["Bi", "Bi", "Nd", "Nd", "Nd", "Nd", "Nd", "Nd", "Nd", "Nd", "Os", "Os"],
  "fractional_positions": [[0.623, 0.373, 0.746], [0.377, 0.627, 0.254], [0.625, 0.059, 0.337], [0.375, 0.941, 0.663], [0.212, 0.278, 0.337], [0.061, 0.207, 0.859], [0.298, 0.651, 0.859], [0.939, 0.793, 0.141], [0.788, 0.722, 0.663], [0.702, 0.349, 0.141], [0.750, 0.000, 0.999], [0.250, 0.000, 0.001]]
}



[6]
{
  "formula": "Cr2AgBi2",
  "functional": "PBE",
  "state": "optimized geometry",
  "formation_enthalpy_0k_ev_per_fu": 3.3,
  "relative_energy_mev_per_atom": 194,
  "dft_energy_ev_per_atom": -5.304,
  "cell": [[5.306, 0.000, 0.000], [0.000, 5.306, 0.000], [2.653, 2.653, 3.856]],
  "species": ["Cr", "Cr", "Bi", "Bi", "Ag"],
  "fractional_positions": [[0.383, 0.383, 0.235], [0.617, 0.617, 0.765], [0.250, 0.750, 0.500], [0.750, 0.250, 0.500], [0.000, 0.000, 0.000]]
}



[7]
{
  "formula": "Na2TlRuF8",
  "functional": "PBE",
  "state": "optimized geometry",
  "raw_formation_energy_ev_per_atom": -2.1055,
  "dft_energy_ev_per_atom": -4.543,
  "cell": [[-2.157, -4.561, 0.072], [2.255, -0.839, 4.547], [-5.711, 2.753, 3.340]],
  "species": ["F", "F", "F", "F", "F", "F", "F", "F", "Na", "Na", "Ru", "Tl"],
  "fractional_positions": [[0.184, 0.823, 0.793], [0.309, 0.310, 0.500], [0.273, 0.277, 0.000], [0.816, 0.177, 0.793], [0.691, 0.690, 0.500], [0.184, 0.823, 0.207], [0.727, 0.723, 0.000], [0.816, 0.177, 0.207], [0.500, 0.500, 0.758], [0.500, 0.500, 0.242], [0.000, 0.000, 0.000], [0.000, 0.000, 0.500]]
}



[8]
{
  "formula": "Er2ThRh",
  "functional": "PBE",
  "state": "optimized geometry",
  "formation_enthalpy_0k_ev_per_fu": -2.1,
  "relative_energy_mev_per_atom": 0,
  "dft_energy_ev_per_atom": -6.496,
  "cell": [[6.373, 0.000, 0.000], [0.000, 7.084, 0.000], [0.000, 0.000, 9.621]],
  "species": ["Th", "Th", "Th", "Th", "Er", "Er", "Er", "Er", "Er", "Er", "Er", "Er", "Rh", "Rh", "Rh", "Rh"],
  "fractional_positions": [[0.348, 0.463, 0.750], [0.652, 0.537, 0.250], [0.152, 0.963, 0.750], [0.848, 0.037, 0.250], [0.166, 0.678, 0.065], [0.666, 0.822, 0.565], [0.834, 0.322, 0.565], [0.334, 0.178, 0.065], [0.834, 0.322, 0.935], [0.666, 0.822, 0.935], [0.334, 0.178, 0.435], [0.166, 0.678, 0.435], [0.055, 0.373, 0.250], [0.445, 0.873, 0.250], [0.945, 0.627, 0.750], [0.555, 0.127, 0.750]]
}



[9]
{
  "formula": "Li2LaSCl",
  "functional": "PBE",
  "state": "optimized geometry",
  "raw_formation_energy_ev_per_atom": -1.1566,
  "dft_energy_ev_per_atom": -4.102,
  "cell": [[4.447, 0.000, 0.000], [0.000, 5.817, 0.000], [0.000, 0.000, 4.447]],
  "species": ["Li", "Li", "La", "S", "Cl"],
  "fractional_positions": [[0.500, 0.000, 0.000], [0.000, 0.000, 0.500], [0.000, 0.500, 0.000], [0.000, 0.000, 0.000], [0.500, 0.500, 0.500]]
}



[10]
{
  "formula": "HfReSe2Br",
  "functional": "PBE",
  "state": "optimized geometry",
  "raw_formation_energy_ev_per_atom": 0.7489,
  "relative_energy_mev_per_atom": 187,
  "dft_energy_ev_per_atom": -5.460,
  "cell": [[-2.725, -0.804, -3.922], [-2.408, -3.461, 2.382], [-3.340, 3.436, 1.616]],
  "species": ["Se", "Se", "Br", "Hf", "Re"],
  "fractional_positions": [[0.000, 0.500, 0.000], [0.500, 0.000, 0.000], [0.000, 0.000, 0.500], [0.500, 0.500, 0.500], [0.000, 0.000, 0.000]]
}



[11]
{
  "formula": "La6Co2RuCl3",
  "functional": "PBE",
  "state": "optimized geometry",
  "raw_formation_energy_ev_per_atom": -0.9706,
  "dft_energy_ev_per_atom": -5.853,
  "cell": [[4.059, 0.000, 0.000], [0.000, 8.996, -0.281], [-2.029, -3.229, 9.082]],
  "species": ["Cl", "Cl", "Cl", "La", "La", "La", "La", "La", "La", "Co", "Co", "Ru"],
  "fractional_positions": [[0.500, 0.500, 0.000], [0.834, 0.167, 0.669], [0.166, 0.833, 0.331], [0.989, 0.772, 0.977], [0.321, 0.445, 0.642], [0.679, 0.555, 0.358], [0.011, 0.228, 0.023], [0.657, 0.111, 0.314], [0.343, 0.889, 0.686], [0.169, 0.336, 0.339], [0.831, 0.664, 0.661], [0.500, 0.000, 0.000]]
}



no.,D(E_F) (states/eV/cell)
1,1.93
2,2.60
3,11.31
4,14.44
5,9.93
6,2.68
7,6.77
8,17.99
9,3.71
10,6.50
11,4.73